A geometry-optimized Pm4Dy2Er3 structure. Source: Alexandria via LeMat-Bulk, functional PBE.

a = 6.186 Å, b = 6.186 Å, c = 10.734 Å
α = 106.58°, β = 106.58°, γ = 48.37°
Atoms (fractional coordinates):
Pm (0.001, 0.001, 0.333)
Pm (0.334, 0.334, 0.112)
Pm (0.666, 0.666, 0.888)
Pm (0.999, 0.999, 0.667)
Dy (0.332, 0.332, 0.776)
Dy (0.668, 0.668, 0.224)
Er (0.000, 0.000, 0.000)
Er (0.334, 0.334, 0.446)
Er (0.666, 0.666, 0.554)

Calculated formation energy: 0.018 eV per atom
Total energy: -41.7 eV per cell
Distance to the lowest polymorph of the same formula: 0.0 meV per atom